No. 1
CaCeNiAg (GGA-PBE, optimized geometry); crystal system = cubic; total energy = -0.1559 Ha/atom; SG = F-43m (216); ΔE_f = -0.40 eV per formula unit; size of the total moment = 0.7 μB per formula unit
1.0
5.0630 0.0000 0.0000
2.5315 4.3847 0.0000
2.5315 1.4616 4.1339
Ca Ni Ce Ag
1 1 1 1
Cartesian
5.0630 2.9231 2.0670
7.5946 4.3847 3.1005
0.0000 0.0000 0.0000
2.5315 1.4616 1.0335

No. 2
TaV3Te (GGA-PBE, optimized geometry); formation energy from raw total energies = 1335 meV/atom; crystal system = cubic; total energy = -0.2622 Ha/atom; SG = Pm-3m (221); size of the total moment = 0.0 μB per formula unit
1.0
4.6833 0.0000 0.0000
0.0000 4.6833 0.0000
0.0000 0.0000 4.6833
V Te Ta
3 1 1
Cartesian
2.3416 0.0000 0.0000
0.0000 0.0000 2.3416
0.0000 2.3416 0.0000
2.3416 2.3416 2.3416
0.0000 0.0000 0.0000

No. 3
CaSi2Br (GGA-PBE, optimized geometry); formation energy from raw total energies = -676 meV/atom; crystal system = trigonal; total energy = -0.1582 Ha/atom; SG = R3m (160); size of the total moment = 0.0 μB per formula unit
1.0
-3.1690 -1.8266 1.4631
0.3407 -2.2789 3.1953
-2.4386 4.9757 6.2399
Si Br Ca
2 1 1
Cartesian
-2.3783 4.7189 6.0508
-4.1407 1.4596 8.7705
-2.5422 0.0510 5.1642
-1.2776 0.0515 2.6019

No. 4
Th2AgN (GGA-PBE, optimized geometry); formation energy from raw total energies = -359 meV/atom; crystal system = trigonal; total energy = -0.2522 Ha/atom; SG = R-3m (166); size of the total moment = 0.0 μB per formula unit
1.0
3.4240 0.0000 0.0000
1.7120 2.9653 0.0000
1.7120 0.9884 9.3389
Th N Ag
2 1 1
Cartesian
1.7120 0.9884 6.1940
5.1360 2.9653 3.1449
3.4240 1.9768 4.6695
0.0000 0.0000 0.0000

No. 5
LiErMgPd (GGA-PBE, optimized geometry); crystal system = cubic; total energy = -0.1382 Ha/atom; SG = F-43m (216); ΔE_f = -1.78 eV per formula unit; size of the total moment = 0.0 μB per formula unit
1.0
-2.0888 2.1195 -3.7667
-4.5416 1.5224 0.3163
-0.9522 4.7036 0.1158
Pd Er Li Mg
1 1 1 1
Cartesian
-3.7913 4.1727 -1.6673
-5.6869 6.2591 -2.5009
0.0000 0.0000 0.0000
-1.8956 2.0864 -0.8336

No. 6
HfTcSe3 (GGA-PBE, optimized geometry); formation energy from raw total energies = 393 meV/atom; crystal system = cubic; total energy = -0.2117 Ha/atom; SG = Pm-3m (221); size of the total moment = 1.4 μB per formula unit
1.0
-2.7688 -1.6774 3.6028
-2.5072 -2.6696 -3.1697
3.0835 -3.6769 0.6578
Se Hf Tc
3 1 1
Cartesian
1.5417 -1.8384 0.3289
-1.3844 -0.8387 1.8014
-1.2536 -1.3348 -1.5848
-1.0962 -4.0119 0.5455
0.0000 0.0000 0.0000

No. 7
CsMgSb2 (GGA-PBE, optimized geometry); formation energy from raw total energies = -125 meV/atom; crystal system = trigonal; total energy = -0.1029 Ha/atom; SG = R-3m (166); size of the total moment = 0.0 μB per formula unit
1.0
-1.1562 3.3539 -1.2796
-3.6868 0.7464 -0.2700
-1.5720 5.1262 9.2992
Cs Mg Sb
1 1 2
Cartesian
-3.2075 4.6133 3.8748
0.0000 0.0000 0.0000
-1.6059 2.1171 1.4425
-4.8091 7.1095 6.3071

No. 8
CaCu2Se (GGA-PBE, optimized geometry); formation energy from raw total energies = -296 meV/atom; crystal system = tetragonal; total energy = -0.1366 Ha/atom; SG = I-42d (122); size of the total moment = 0.0 μB per formula unit
1.0
-1.3335 3.2650 -1.8059
-3.7229 -1.2917 0.4137
-3.1598 5.6660 8.2305
Ca Cu Se
2 4 2
Cartesian
-2.5282 0.9866 -0.6961
-4.7054 2.6805 3.9740
-3.2182 0.8577 2.1787
-2.1539 3.4553 0.8924
-4.0840 5.0526 5.6306
-6.9762 5.9129 4.9749
-3.5107 4.9588 2.8643
0.0000 0.0000 0.0000

No. 9
Nd2ReCl (GGA-PBE, optimized geometry); formation energy from raw total energies = 178 meV/atom; crystal system = trigonal; total energy = -0.2124 Ha/atom; SG = R-3m (166); size of the total moment = 0.4 μB per formula unit
1.0
3.2443 0.0000 0.0000
1.6222 2.8097 0.0000
1.6222 0.9366 10.3249
Nd Cl Re
2 1 1
Cartesian
1.6222 0.9366 7.5313
4.8665 2.8097 2.7937
3.2443 1.8731 5.1625
0.0000 0.0000 0.0000

No. 10
Hf4I (GGA-PBE, optimized geometry); formation energy from raw total energies = 1134 meV/atom; crystal system = cubic; total energy = -0.2623 Ha/atom; SG = Pm-3m (221); size of the total moment = 0.0 μB per formula unit
1.0
-1.6285 0.2786 4.8619
3.4516 -3.5504 1.3596
3.4354 3.6992 0.9388
Hf I
4 1
Cartesian
0.9034 1.9889 2.9003
0.0000 0.0000 0.0000
0.9115 -1.6359 3.1107
3.4435 0.0744 1.1492
2.6292 0.2137 3.5801

No. 11
YTi2Os (GGA-PBE, optimized geometry); crystal system = cubic; total energy = -0.3079 Ha/atom; SG = Fm-3m (225); ΔE_f = -0.03 eV per formula unit; size of the total moment = 0.0 μB per formula unit
1.0
0.0000 3.2857 3.2857
3.2857 0.0000 3.2857
3.2857 3.2857 0.0000
Ti Os Y
2 1 1
Cartesian
1.6428 1.6428 1.6428
4.9285 4.9285 4.9285
3.2857 3.2857 3.2857
0.0000 0.0000 0.0000

No. 12
LiPmAg (GGA-PBE, optimized geometry); crystal system = cubic; total energy = -0.1154 Ha/atom; SG = F-43m (216); ΔE_f = 0.10 eV per formula unit; size of the total moment = 0.0 μB per formula unit
1.0
-2.6328 -3.7718 1.6372
1.0140 -1.9818 4.3454
-3.0780 0.6119 3.7403
Ag Pm Li
1 1 1
Cartesian
-1.1742 -1.2854 2.4307
0.0000 0.0000 0.0000
-2.3484 -2.5708 4.8614

No. 13
TcTe2W (GGA-PBE, optimized geometry); formation energy from raw total energies = 1066 meV/atom; crystal system = orthorhombic; total energy = -0.2328 Ha/atom; SG = Pmmm (47); size of the total moment = 0.0 μB per formula unit
1.0
-2.7756 -1.2062 1.2981
2.9083 -2.3529 4.0321
-0.4377 3.6201 2.4281
Tc Te W
1 2 1
Cartesian
1.2353 0.6336 3.2301
0.0000 0.0000 0.0000
0.0664 -1.7795 2.6651
-1.6066 1.2069 1.8631

No. 14
Pr2PdRh (GGA-PBE, optimized geometry); crystal system = tetragonal; total energy = -0.2279 Ha/atom; SG = P4/mmm (123); ΔE_f = -2.70 eV per formula unit; size of the total moment = 0.0 μB per formula unit
1.0
-2.3467 1.2156 -2.4568
-2.6887 -1.6501 1.7517
-1.0697 5.9562 3.9689
Pr Pd Rh
2 1 1
Cartesian
-0.2572 1.4322 0.9543
-0.8124 4.5240 3.0145
-3.0526 2.7608 1.6319
-2.5177 -0.2172 -0.3525

No. 15
K2MgSc (GGA-PBE, optimized geometry); crystal system = tetragonal; total energy = -0.0821 Ha/atom; SG = P4mm (99); ΔE_f = 1.19 eV per formula unit; size of the total moment = 0.4 μB per formula unit
1.0
3.8007 0.0000 0.0000
0.0000 3.8007 0.0000
0.0000 0.0000 11.4115
K Sc Mg
2 1 1
Cartesian
1.9003 1.9003 3.5654
0.0000 0.0000 10.8851
1.9003 1.9003 7.7953
0.0000 0.0000 6.2831

No. 16
K2TaBiO6 (GGA-PBE, optimized geometry); formation energy from raw total energies = -1857 meV/atom; crystal system = cubic; total energy = -0.2434 Ha/atom; SG = Fm-3m (225); size of the total moment = 0.0 μB per formula unit
1.0
-1.9610 -2.2083 5.0428
-4.2020 -2.8583 -2.8855
-0.5664 -5.7813 0.6341
O K Ta Bi
6 2 1 1
Cartesian
-1.8650 -4.1041 0.8637
-2.1580 -7.0897 1.1911
-3.6234 -2.6906 -0.8382
-4.5715 -3.7583 1.6003
-3.1061 -8.1574 3.6297
-4.8644 -6.7439 1.9278
-3.9248 -5.5869 -0.5861
-2.8046 -5.2611 3.3776
-3.0815 -2.5333 1.0787
0.0000 0.0000 0.0000

No. 17
Ta2ZnHAu (GGA-PBE, optimized geometry); crystal system = tetragonal; total energy = -0.2327 Ha/atom; SG = P4/mmm (123); size of the total moment = 0.0 μB per formula unit
1.0
-0.6252 -3.0727 -2.4825
0.9179 -2.5576 2.9345
-4.2230 -0.1220 1.2146
Zn H Ta Au
1 1 2 1
Cartesian
-2.1115 -0.0610 0.6073
0.0000 0.0000 0.0000
0.4589 -1.2788 1.4672
-0.3126 -1.5363 -1.2412
-1.9651 -2.8761 0.8333

No. 18
La2ScSn3Rh4 (GGA-PBE, optimized geometry); crystal system = tetragonal; total energy = -0.2414 Ha/atom; SG = P-4m2 (115); ΔE_f = -8.09 eV per formula unit; size of the total moment = 0.0 μB per formula unit
1.0
4.4042 0.0000 0.0000
0.0000 4.4042 0.0000
0.0000 0.0000 11.3629
Rh Sn Sc La
4 3 1 2
Cartesian
2.2021 0.0000 7.2703
0.0000 2.2021 4.0926
2.2021 2.2021 0.0000
0.0000 0.0000 0.0000
0.0000 2.2021 1.4487
0.0000 0.0000 5.6815
2.2021 0.0000 9.9142
2.2021 2.2021 5.6815
2.2021 0.0000 2.7550
0.0000 2.2021 8.6079

No. 19
RbNpS2O8 (GGA-PBE, optimized geometry); formation energy from raw total energies = -1858 meV/atom; crystal system = trigonal; total energy = -0.2576 Ha/atom; SG = P-3m1 (164); size of the total moment = 4.0 μB per formula unit
1.0
-5.1134 0.7737 -2.1025
2.8687 -4.6191 -1.2651
-3.3469 -3.9134 6.6997
O S Rb Np
8 2 1 1
Cartesian
-2.6440 -4.8217 4.6560
-1.9701 -1.2626 0.1426
-3.8258 -2.6294 0.9252
-1.7658 -5.1294 2.4069
-1.3948 -6.8331 4.1051
-2.9476 -2.9371 -1.3238
-4.1968 -0.9257 -0.7729
-3.6215 -6.4962 3.1895
-2.3419 -5.8031 3.5602
-3.2497 -1.9557 -0.2280
-1.6734 -1.9567 3.3498
0.0000 0.0000 0.0000

No. 20
BC2 (GGA-PBE, optimized geometry); crystal system = monoclinic; total energy = -0.2944 Ha/atom; SG = Cm (8); ΔE_f = 1.09 eV per formula unit; size of the total moment = 0.0 μB per formula unit
1.0
4.1342 0.0498 -5.5758
-0.2910 2.5765 -6.7095
0.1240 -0.0770 7.1916
C B
8 4
Cartesian
0.4881 0.3172 -1.4757
2.4978 1.6240 -7.5543
-0.1232 1.6672 -1.9369
1.9790 2.1571 -3.7488
0.0156 0.0053 -0.0221
2.3792 2.4593 -5.1769
2.0492 1.2395 1.0329
0.4417 1.1471 0.9555
0.3947 1.9870 -3.4154
4.0828 0.8728 -3.1107
2.1236 0.4233 -1.4589
2.2554 0.7670 -3.1954

No. 21
CaTePS2 (GGA-PBE, optimized geometry); formation energy from raw total energies = -68 meV/atom; crystal system = tetragonal; total energy = -0.1407 Ha/atom; SG = P4/mmm (123); size of the total moment = 0.0 μB per formula unit
1.0
5.1208 0.0000 0.0000
0.0000 5.1208 0.0000
0.0000 0.0000 4.9794
S Te P Ca
2 1 1 1
Cartesian
2.5604 0.0000 0.0000
0.0000 2.5604 0.0000
0.0000 0.0000 0.0000
0.0000 0.0000 2.4897
2.5604 2.5604 2.4897

No. 22
RbBe2HgBr8 (GGA-PBE, optimized geometry); formation energy from raw total energies = -821 meV/atom; crystal system = trigonal; total energy = -0.0979 Ha/atom; SG = R-3 (148); size of the total moment = 0.6 μB per formula unit
1.0
6.5874 0.0000 0.0000
3.2937 5.7049 0.0000
3.2937 1.9016 9.9271
Br Rb Be Hg
8 1 2 1
Cartesian
7.5817 1.8486 8.2247
3.2937 1.9016 4.5328
9.8811 5.7049 5.3943
4.3975 3.9195 8.2247
5.5931 5.7579 1.7024
5.3918 1.9648 1.7024
7.7830 5.6416 8.2247
8.7773 3.6870 1.7024
6.5874 3.8032 4.9636
9.8811 5.7049 7.5696
3.2937 1.9016 2.3575
0.0000 0.0000 0.0000

No. 23
Nb2TlPbI (GGA-PBE, optimized geometry); formation energy from raw total energies = 1446 meV/atom; crystal system = tetragonal; total energy = -0.1509 Ha/atom; SG = P4/mmm (123); size of the total moment = 2.0 μB per formula unit
1.0
5.1490 0.0000 0.0000
0.0000 6.0510 0.0000
0.0000 0.0000 5.1490
Pb Nb Tl I
1 2 1 1
Cartesian
2.5745 3.0255 2.5745
0.0000 0.0000 2.5745
2.5745 0.0000 0.0000
0.0000 3.0255 0.0000
0.0000 0.0000 0.0000